Entry 1:
Density functional theory data (PBE) for a relaxed structure of Pu2Be4SiGe3.

Calculated values
Uncorrected formation energy (meV per atom): -269

a = 4.0053 Å, b = 4.0053 Å, c = 9.4762 Å
α = 90.00°, β = 90.00°, γ = 90.00°
Site moments in Bohr magnetons follow the coordinates.
Atoms (fractional coordinates):
Be  0.0000  0.0000  0.0000  0.00
Pu  0.0000  0.5000  0.7458  5.27
Ge  0.5000  0.0000  0.8678  -0.07
Ge  0.0000  0.0000  0.5000  -0.03
Si  0.5000  0.5000  0.5000  -0.03
Be  0.0000  0.5000  0.3718  -0.01
Be  0.5000  0.5000  0.0000  0.00
Be  0.5000  0.0000  0.6282  -0.01
Pu  0.5000  0.0000  0.2542  5.27
Ge  0.0000  0.5000  0.1322  -0.07

***

Entry 2:
Density functional theory data (PBE) for a relaxed structure of Pu2Be3ZnGe4.

Calculated values
Calculated formation energy (eV per atom): -0.25

a = 4.0989 Å, b = 4.0989 Å, c = 9.7450 Å
α = 90.00°, β = 90.00°, γ = 90.00°
Site moments in Bohr magnetons follow the coordinates.
Atoms (fractional coordinates):
Pu  0.5000  0.0000  0.2386  5.31
Be  0.0000  0.5000  0.1238  -0.01
Zn  0.5000  0.5000  0.5000  0.01
Ge  0.0000  0.0000  0.0000  -0.04
Ge  0.5000  0.0000  0.6450  -0.07
Ge  0.0000  0.5000  0.3550  -0.07
Ge  0.5000  0.5000  0.0000  -0.04
Be  0.0000  0.0000  0.5000  0.01
Be  0.5000  0.0000  0.8762  -0.01
Pu  0.0000  0.5000  0.7614  5.31

***

Entry 3:
Density functional theory data (PBE) for a relaxed structure of RbBe3Ge.

Calculated values
Energy above the lowest structure with this stoichiometry (meV per atom): 1494.6
Calculated formation energy (eV per atom): 2.54

a = 5.2651 Å, b = 5.2651 Å, c = 5.2651 Å
α = 90.00°, β = 90.00°, γ = 90.00°
Atoms (fractional coordinates):
Be  0.5000  0.0000  0.0000
Be  0.0000  0.0000  0.5000
Ge  0.5000  0.5000  0.5000
Rb  0.0000  0.0000  0.0000
Be  0.0000  0.5000  0.0000

***

Entry 4:
Density functional theory data (PBE) for a relaxed structure of RbBeGe.

Calculated values
Energy above the lowest structure with this stoichiometry (meV per atom): 69.0
Calculated formation energy (eV per atom): 0.09

a = 4.1842 Å, b = 6.7888 Å, c = 6.8454 Å
α = 106.59°, β = 100.96°, γ = 101.47°
Atoms (fractional coordinates):
Be  0.7149  0.7754  0.7288
Ge  0.2411  0.7685  0.8297
Rb  0.5336  0.3331  0.9409
Be  0.2924  0.5479  0.4988
Rb  0.0032  0.9484  0.3278
Ge  0.7617  0.4466  0.4977

***

Entry 5:
Density functional theory data (PBE) for a relaxed structure of RbBeGe3.

Calculated values
Calculated formation energy (eV per atom): 0.43

a = 4.8136 Å, b = 4.8136 Å, c = 4.8136 Å
α = 90.00°, β = 90.00°, γ = 90.00°
Atoms (fractional coordinates):
Ge  0.0000  0.5000  0.0000
Rb  0.5000  0.5000  0.5000
Ge  0.0000  0.0000  0.5000
Ge  0.5000  0.0000  0.0000
Be  0.0000  0.0000  0.0000

***

Entry 6:
Density functional theory data (PBE) for a relaxed structure of RbBeGe.

Calculated values
Energy above the lowest structure with this stoichiometry (meV per atom): 0.0
Calculated formation energy (eV per atom): 0.02

a = 3.8612 Å, b = 4.2402 Å, c = 10.9866 Å
α = 93.65°, β = 90.53°, γ = 90.02°
Atoms (fractional coordinates):
Be  0.2503  0.6375  0.0067
Rb  0.2426  0.2778  0.7132
Ge  0.7478  0.8417  0.9071
Rb  0.7574  0.7222  0.2868
Ge  0.2522  0.1583  0.0929
Be  0.7497  0.3625  0.9933

***

Entry 7:
Density functional theory data (PBE) for a relaxed structure of Rb2BeGe.

Calculated values
Energy above the lowest structure with this stoichiometry (meV per atom): 663.2
Calculated formation energy (eV per atom): 0.87

a = 5.9982 Å, b = 5.9982 Å, c = 5.9982 Å
α = 60.00°, β = 60.00°, γ = 60.00°
Site moments in Bohr magnetons follow the coordinates.
Atoms (fractional coordinates):
Ge  0.5000  0.5000  0.5000  0.61
Rb  0.7500  0.7500  0.7500  0.03
Be  0.0000  0.0000  0.0000  0.04
Rb  0.2500  0.2500  0.2500  0.03

***

Entry 8:
Density functional theory data (PBE) for a relaxed structure of RbBe2Ge.

Calculated values
Calculated formation energy (eV per atom): 0.48

a = 5.2654 Å, b = 5.2654 Å, c = 7.9941 Å
α = 70.77°, β = 70.77°, γ = 90.00°
Atoms (fractional coordinates):
Rb  0.0000  0.0000  0.0000
Ge  0.2500  0.7500  0.5000
Ge  0.5000  0.5000  0.0000
Be  0.3750  0.6250  0.7500
Be  0.3750  0.6250  0.2500
Be  0.3750  0.1250  0.2500
Rb  0.7500  0.2500  0.5000
Be  0.8750  0.6250  0.7500

***

Entry 9:
Density functional theory data (PBE) for a relaxed structure of Rb2BeGe.

Calculated values
Energy above the lowest structure with this stoichiometry (meV per atom): 0.0
Calculated formation energy (eV per atom): 0.21

a = 13.6004 Å, b = 13.6004 Å, c = 9.8471 Å
α = 46.32°, β = 46.32°, γ = 90.00°
Atoms (fractional coordinates):
Rb  0.9108  0.6250  0.2500
Ge  0.0000  0.0000  0.0000
Be  0.2500  0.7500  0.5000
Rb  0.3750  0.1608  0.7500
Rb  0.8750  0.0892  0.7500
Be  0.5000  0.5000  0.0000
Rb  0.8392  0.1250  0.2500
Ge  0.7500  0.2500  0.5000

***

Entry 10:
Density functional theory data (PBE) for a relaxed structure of RbBe3Ge.

Calculated values
Energy above the lowest structure with this stoichiometry (meV per atom): 0.0
Calculated formation energy (eV per atom): 1.05

a = 4.6652 Å, b = 4.6652 Å, c = 4.6652 Å
α = 90.00°, β = 90.00°, γ = 90.00°
Atoms (fractional coordinates):
Be  0.0000  0.5000  0.0000
Ge  0.0000  0.0000  0.0000
Be  0.5000  0.0000  0.0000
Be  0.0000  0.0000  0.5000
Rb  0.5000  0.5000  0.5000

***

Entry 11:
Density functional theory data (PBE) for a relaxed structure of RbBeGe.

Calculated values
Energy above the lowest structure with this stoichiometry (meV per atom): 185.8
Calculated formation energy (eV per atom): 0.21

a = 5.8963 Å, b = 3.4180 Å, c = 7.5625 Å
α = 90.00°, β = 90.00°, γ = 90.00°
Atoms (fractional coordinates):
Ge  0.5000  0.0000  0.4593
Be  0.5000  0.0000  0.7548
Rb  0.0000  0.0000  0.1290
Be  0.5000  0.5000  0.2548
Rb  0.0000  0.5000  0.6290
Ge  0.5000  0.5000  0.9593

***

Entry 12:
Density functional theory data (PBE) for a relaxed structure of RbBeGe.

Calculated values
Energy above the lowest structure with this stoichiometry (meV per atom): 70.8
Calculated formation energy (eV per atom): 0.09

a = 6.6084 Å, b = 3.8024 Å, c = 13.8907 Å
α = 90.00°, β = 103.05°, γ = 90.00°
Atoms (fractional coordinates):
Be  0.4423  0.0000  0.2225
Ge  0.3197  0.0000  0.6311
Be  0.5577  0.0000  0.7775
Ge  0.6803  0.5000  0.8689
Rb  0.1753  0.5000  0.4053
Ge  0.6803  0.0000  0.3689
Be  0.4423  0.5000  0.7225
Be  0.5577  0.5000  0.2775
Rb  0.8247  0.0000  0.0947
Rb  0.8247  0.5000  0.5947
Rb  0.1753  0.0000  0.9053
Ge  0.3197  0.5000  0.1311